SrScIn2: relaxed, PBEsol.

## Properties
ΔE_f = -0.259 eV/atom
E_tot = -15.45 eV per formula unit

Cell lengths 3.5309, 5.1242, 6.8981 Å; angles 99.27, 90.00, 110.15 degrees
With the nearest neighbours (Å) after each atom.
Fractional positions:
In: 0.7442 0.4885 0.6942  3 Sc 3.00-3.06, 2 In 3.23
In: 0.2558 0.5115 0.3058  3 Sc 3.00-3.06, 2 In 3.23
Sr: 0.5000 0.0000 0.0000  6 In 3.42-3.44, 2 Sr 3.53
Sc: 0.0000 0.0000 0.5000  6 In 3.00-3.06